A geometry-optimized LiScRh2 structure. Source: the Alexandria database, functional PBE.

Values from the calculation:
**Magnetic moment**: 0.00 μB/f.u.
**E_tot**: -6.0300 eV/atom
**DOS(E_F)**: 4.05 states/eV/cell

a = 3.292 Å, b = 3.292 Å, c = 5.627 Å
α = 90.00°, β = 90.00°, γ = 90.00°
Space group P4mm (No. 99)
Symmetry-distinct sites (fractional):
Li  0.000  0.000  0.000 (multiplicity 1)
Sc  0.500  0.500  0.706 (multiplicity 1)
Rh  0.000  0.000  0.467 (multiplicity 1)
Rh  0.500  0.500  0.172 (multiplicity 1)